# 1
Compound: Li2AsPt
Source: the Alexandria database
Functional: GGA-PBE
Structure: relaxed

## Properties
Final energy = -3.9350 eV/atom
DOS at the Fermi energy = 0.52 states/eV per atom

Cell: 7.432 7.432 5.778 Å, 49.97 49.97 90.00°
Fractional coordinates of all 8 atoms:
As  0.250  0.750  0.500
As  0.500  0.500  0.000
Li  0.120  0.625  0.250
Li  0.630  0.125  0.250
Li  0.375  0.370  0.750
Li  0.875  0.880  0.750
Pt  0.750  0.250  0.500
Pt  0.000  0.000  0.000

---

# 2
Compound: Li2AsPt
Source: the Alexandria database
Functional: GGA-PBE
Structure: relaxed

## Properties
Final energy = -4.2098 eV/atom
DOS at the Fermi energy = 0.40 states/eV per atom

Cell: 3.794 3.798 3.964 Å, 90.00 90.00 90.00°
Fractional coordinates of all 4 atoms:
As  0.000  0.500  0.500
Li  0.500  0.500  0.000
Li  0.000  0.000  0.000
Pt  0.500  0.000  0.500

---

# 3
Compound: Li4AsPt
Source: the Alexandria database
Functional: GGA-PBE
Structure: relaxed

## Properties
Offset from the most stable computed form = 0 meV per atom
Final energy = -3.6462 eV/atom
DOS at the Fermi energy = 0.21 states/eV per atom

Cell: 4.333 5.149 7.914 Å, 71.04 90.00 90.00°
Fractional coordinates of all 12 atoms:
Li  0.750  0.543  0.916
Li  0.750  0.205  0.586
Li  0.250  0.795  0.414
Li  0.250  0.457  0.084
Li  0.250  0.960  0.084
Li  0.750  0.040  0.916
Li  0.250  0.291  0.414
Li  0.750  0.709  0.586
Pt  0.750  0.121  0.259
Pt  0.250  0.879  0.741
As  0.250  0.371  0.758
As  0.750  0.629  0.242

---

# 4
Compound: Li2AsPt
Source: the Alexandria database
Functional: GGA-PBE
Structure: relaxed

## Properties
Final energy = -4.1736 eV/atom
DOS at the Fermi energy = 0.40 states/eV per atom

Cell: 4.458 2.858 4.680 Å, 89.94 90.00 90.00°
Fractional coordinates of all 4 atoms:
Pt  0.000  0.625  0.497
Li  0.500  0.126  0.274
Li  0.000  0.124  0.983
As  0.500  0.625  0.746

---

# 5
Compound: LiAsPt
Source: the Alexandria database
Functional: GGA-PBE
Structure: relaxed

## Properties
Final energy = -4.7780 eV/atom
DOS at the Fermi energy = 0.30 states/eV per atom

Cell: 4.319 4.319 2.914 Å, 90.00 90.00 120.00°
Fractional coordinates of all 3 atoms:
Li  0.667  0.333  0.334
Pt  0.333  0.667  0.833
As  0.000  0.000  0.833

---

# 6
Compound: LiAs2Pt2
Source: the Alexandria database
Functional: GGA-PBE
Structure: relaxed

## Properties
Offset from the most stable computed form = 0 meV per atom
Final energy = -5.0057 eV/atom
DOS at the Fermi energy = 0.34 states/eV per atom

Cell: 4.420 4.420 5.872 Å, 67.89 67.89 90.00°
Fractional coordinates of all 5 atoms:
Pt  0.750  0.250  0.500
Pt  0.250  0.750  0.500
Li  0.000  0.000  0.000
As  0.370  0.370  0.260
As  0.630  0.630  0.740